Below is a relaxed Ca3Mg4Ag crystal, with properties calculated at the PBE level.

Computed properties:
The calculated total energy comes out at -16.04 eV/cell. Its volume is 220.89 Å³ per cell. The formation energy is -0.100 eV/atom.

Unit cell a=3.622 b=3.622 c=16.836 alpha=90.00 beta=90.00 gamma=90.00
Sites, in units of the cell vectors:
Mg1 0.000 0.000 0.090
Mg2 0.000 0.000 0.910
Mg3 0.000 0.000 0.364
Mg4 0.000 0.000 0.636
Ca1 0.500 0.500 0.500
Ca2 0.500 0.500 0.229
Ca3 0.500 0.500 0.771
Ag1 0.500 0.500 0.000